(1)
CaAg2Rh2 | PBE | optimized geometry

Cell lengths 7.650, 7.650, 3.174 Å; angles 90.00, 90.00, 90.00 degrees
Space group P4/mbm (No. 127)
One atom of each set of equivalent atoms:
1 Ca 0.000 0.000 0.000 [2 per cell]
2 Ag 0.176 0.324 0.500 [4 per cell]
3 Rh 0.120 0.620 0.000 [4 per cell]

VASP energy = -4.402 eV per atom
ΔE_f = 0.40 eV/f.u.

***

(2)
LaTcP2 | PBE | optimized geometry

Cell lengths 4.161, 4.071, 4.868 Å; angles 90.00, 90.07, 90.00 degrees
Space group P2/m (No. 10)
One atom of each set of equivalent atoms:
1 La 0.000 0.000 0.000 [1 per cell]
2 Tc 0.500 0.000 0.500 [1 per cell]
3 P 0.500 0.500 0.230 [2 per cell]

VASP energy = -7.223 eV per atom
ΔE_f = -2.78 eV/f.u.

***

Q: Which value of ΔE_f does entry 1 give?
A: 0.40 eV/f.u.

***

Q: Look up the ΔE_f of the second one.
A: -2.78 eV/f.u.

***

Q: Look up the VASP energy of the first one.
A: -4.402 eV per atom

***

Q: Which of these has the lowest ΔE_f?
A: LaTcP2